(1)
The following is a DFT calculation (PBE-GGA) of a relaxed Ga4AgP2 crystal.

Lattice parameters (Å, degrees): 5.0462 5.0462 7.2235 69.56 69.56 90.00
Atoms (fractional coordinates):
P 0.6165 0.6165 0.7670
P 0.3835 0.3835 0.2330
Ga 0.7998 0.7998 0.4003
Ga 0.2002 0.2002 0.5997
Ga 0.0000 0.5000 0.0000
Ga 0.5000 0.0000 0.0000
Ag 0.0000 0.0000 0.0000

Summary:
total DFT energy (no corrections)	-3.32	eV per atom
ΔE_f	0.365	eV per atom
magnetic moment	0.00	μB/atom

(2)
The following is a DFT calculation (PBE-GGA) of a relaxed ReOs crystal.

Lattice parameters (Å, degrees): 5.9130 5.9130 5.9130 153.08 136.71 51.72
Atoms (fractional coordinates):
Os 0.3276 0.5776 0.2500
Os 0.6724 0.4224 0.7500
Re 0.8932 0.1432 0.2500
Re 0.1068 0.8568 0.7500

Summary:
total DFT energy (no corrections)	-11.40	eV per atom
ΔE_f	0.440	eV per atom
polymorph energy (0 for the lowest one)	1.065	eV/f.u.
magnetic moment	0.00	μB/atom

(3)
The following is a DFT calculation (PBE-GGA) of a relaxed LaAlF crystal.

Lattice parameters (Å, degrees): 8.6364 4.2537 7.3520 90.00 106.98 90.00
Atoms (fractional coordinates):
F 0.3408 0.0000 0.5982
F 0.3408 0.5000 0.0982
F 0.1633 0.0000 0.8717
F 0.1633 0.5000 0.3717
Al 0.7543 0.0000 0.7402
Al 0.7543 0.5000 0.2402
Al 0.7335 0.0000 0.3993
Al 0.7335 0.5000 0.8993
La 0.4592 0.0000 0.9719
La 0.4592 0.5000 0.4719
La 0.0112 0.0000 0.1614
La 0.0112 0.5000 0.6614

Summary:
total DFT energy (no corrections)	-5.42	eV per atom
polymorph energy (0 for the lowest one)	0.305	eV/f.u.
magnetic moment	0.00	μB/atom
ΔE_f (raw)	-1.909	eV per atom

(4)
The following is a DFT calculation (PBE-GGA) of a relaxed MgGa crystal.

Lattice parameters (Å, degrees): 3.1809 3.1809 13.8331 90.00 90.00 120.00
Atoms (fractional coordinates):
Mg 0.0000 0.0000 0.8423
Mg 0.3333 0.6667 0.6558
Mg 0.0000 0.0000 0.1700
Ga 0.3333 0.6667 0.0064
Ga 0.0000 0.0000 0.4906
Ga 0.3333 0.6667 0.3348

Summary:
total DFT energy (no corrections)	-2.36	eV per atom
ΔE_f	-0.050	eV per atom
magnetic moment	0.00	μB/atom

(5)
The following is a DFT calculation (PBE-GGA) of a relaxed Pr3Ga2Ir7 crystal.

Lattice parameters (Å, degrees): 5.5577 5.5577 8.9054 71.82 71.82 60.00
Atoms (fractional coordinates):
Pr 0.0000 0.0000 0.0000
Pr 0.8590 0.8590 0.4230
Pr 0.1410 0.1410 0.5770
Ga 0.6647 0.6647 0.0059
Ga 0.3353 0.3353 0.9941
Ir 0.5000 0.5000 0.5000
Ir 0.9235 0.4162 0.2441
Ir 0.4162 0.9235 0.2441
Ir 0.4162 0.4162 0.2441
Ir 0.0765 0.5838 0.7559
Ir 0.5838 0.5838 0.7559
Ir 0.5838 0.0765 0.7559

Summary:
total DFT energy (no corrections)	-7.54	eV per atom
ΔE_f	-0.667	eV per atom
magnetic moment	0.00	μB/atom

(6)
The following is a DFT calculation (PBE-GGA) of a relaxed ZrCr crystal.

Lattice parameters (Å, degrees): 6.1485 6.1485 6.1485 36.60 36.60 36.60
Atoms (fractional coordinates):
Cr 0.3183 0.3183 0.3183
Cr 0.6817 0.6817 0.6817
Zr 0.1020 0.1020 0.1020
Zr 0.8980 0.8980 0.8980

Summary:
total DFT energy (no corrections)	-8.85	eV per atom
ΔE_f	0.232	eV per atom
magnetic moment	0.00	μB/atom

(7)
The following is a DFT calculation (PBE-GGA) of a relaxed ErTaMnC3 crystal.

Lattice parameters (Å, degrees): 3.2939 6.7927 7.2522 100.47 90.00 90.00
Atoms (fractional coordinates):
Er 0.7500 0.8288 0.8094
Er 0.2500 0.1712 0.1906
Ta 0.2500 0.6431 0.1455
Ta 0.7500 0.3569 0.8545
Mn 0.2500 0.0997 0.6012
Mn 0.7500 0.9003 0.3988
C 0.2500 0.8244 0.4767
C 0.7500 0.8793 0.1452
C 0.7500 0.4295 0.1530
C 0.7500 0.1756 0.5233
C 0.2500 0.5705 0.8470
C 0.2500 0.1207 0.8548

Summary:
total DFT energy (no corrections)	-9.03	eV per atom
ΔE_f	-0.150	eV per atom
magnetic moment	0.00	μB/atom

(8)
The following is a DFT calculation (PBE-GGA) of a relaxed Dy2TlC2 crystal.

Lattice parameters (Å, degrees): 3.7876 6.7514 8.3454 105.46 103.12 90.00
Atoms (fractional coordinates):
Dy 0.5007 0.3647 0.6851
Dy 0.1844 0.8647 0.6851
Dy 0.4993 0.6353 0.3149
Dy 0.8156 0.1353 0.3149
Tl 0.8936 0.7500 0.0000
Tl 0.1064 0.2500 0.0000
C 0.3527 0.0322 0.4552
C 0.8975 0.4678 0.5448
C 0.6473 0.9678 0.5448
C 0.1025 0.5322 0.4552

Summary:
total DFT energy (no corrections)	-6.31	eV per atom
ΔE_f	-0.309	eV per atom
magnetic moment	0.00	μB/atom

(9)
The following is a DFT calculation (PBE-GGA) of a relaxed CrInCl6 crystal.

Lattice parameters (Å, degrees): 6.1301 6.8223 6.8223 126.57 98.05 98.05
Atoms (fractional coordinates):
Cr 0.5000 0.5000 0.5000
In 0.0000 0.0000 0.0000
Cl 0.7358 0.5981 0.8719
Cl 0.7358 0.8719 0.5981
Cl 0.2642 0.1281 0.4019
Cl 0.2642 0.4019 0.1281
Cl 0.7364 0.2628 0.2628
Cl 0.2636 0.7372 0.7372

Summary:
total DFT energy (no corrections)	-3.94	eV per atom
magnetic moment	0.38	μB/atom
ΔE_f (raw)	-1.013	eV per atom

(10)
The following is a DFT calculation (PBE-GGA) of a relaxed Zn2MoPd9 crystal.

Lattice parameters (Å, degrees): 3.9115 3.9115 11.8340 90.00 90.00 90.00
Atoms (fractional coordinates):
Zn 0.0000 0.0000 0.3391
Zn 0.0000 0.0000 0.6609
Mo 0.0000 0.0000 0.0000
Pd 0.5000 0.5000 0.0000
Pd 0.5000 0.5000 0.3309
Pd 0.5000 0.5000 0.6691
Pd 0.5000 0.0000 0.1627
Pd 0.5000 0.0000 0.5000
Pd 0.5000 0.0000 0.8373
Pd 0.0000 0.5000 0.1627
Pd 0.0000 0.5000 0.5000
Pd 0.0000 0.5000 0.8373

Summary:
total DFT energy (no corrections)	-5.26	eV per atom
ΔE_f	-0.248	eV per atom
magnetic moment	0.00	μB/atom

(11)
The following is a DFT calculation (PBE-GGA) of a relaxed HfTiS2Cl crystal.

Lattice parameters (Å, degrees): 4.9320 4.9320 4.8514 90.00 90.00 90.00
Atoms (fractional coordinates):
S 0.0000 0.5000 0.0000
S 0.5000 0.0000 0.0000
Cl 0.0000 0.0000 0.5000
Hf 0.0000 0.0000 0.0000
Ti 0.5000 0.5000 0.5000

Summary:
total DFT energy (no corrections)	-6.02	eV per atom
polymorph energy (0 for the lowest one)	0.000	eV/f.u.
magnetic moment	0.12	μB/atom
ΔE_f (raw)	-0.430	eV per atom

(12)
The following is a DFT calculation (PBE-GGA) of a relaxed BaNdRh crystal.

Lattice parameters (Å, degrees): 6.9976 4.2759 4.2759 120.00 90.00 90.00
Atoms (fractional coordinates):
Rh 0.0291 0.0000 0.0000
Nd 0.2195 0.3333 0.6667
Ba 0.7515 0.6667 0.3333

Summary:
total DFT energy (no corrections)	-4.99	eV per atom
ΔE_f	-0.314	eV per atom
polymorph energy (0 for the lowest one)	0.000	eV/f.u.
magnetic moment	0.00	μB/atom